[1]
# LaSmSi | the Alexandria database | PBE | relaxed
data_LaSmSi
_symmetry_space_group_name_H-M 'P 1'
_symmetry_Int_Tables_number 1
_cell_length_a 3.802
_cell_length_b 5.375
_cell_length_c 8.496
_cell_angle_alpha 96.38
_cell_angle_beta 102.88
_cell_angle_gamma 90.14
loop_
_symmetry_equiv_pos_as_xyz
'x,y,z'
loop_
_atom_site_label
_atom_site_fract_x
_atom_site_fract_y
_atom_site_fract_z
Si1 0.490 0.439 0.666
Si2 0.370 0.112 0.427
Sm1 0.137 0.509 0.961
Sm2 0.723 0.041 0.132
La1 0.004 0.978 0.699
La2 0.856 0.573 0.394
# E above lowest polymorph (eV per formula unit): 0.49
# Raw formation energy (eV per atom): -0.360
# Final energy (eV per formula unit): -16.15
# N(E_F) (states/eV/f.u.): 3.18

[2]
# Np4S3O | the Alexandria database | PBE | relaxed
data_Np4S3O
_symmetry_space_group_name_H-M 'P 1'
_symmetry_Int_Tables_number 1
_cell_length_a 5.388
_cell_length_b 5.388
_cell_length_c 5.388
_cell_angle_alpha 90.00
_cell_angle_beta 90.00
_cell_angle_gamma 90.00
loop_
_symmetry_equiv_pos_as_xyz
'x,y,z'
loop_
_atom_site_label
_atom_site_fract_x
_atom_site_fract_y
_atom_site_fract_z
O1 0.000 0.000 0.000
S1 0.500 0.000 0.500
S2 0.000 0.500 0.500
S3 0.500 0.500 0.000
Np1 0.500 0.500 0.500
Np2 0.500 0.000 0.000
Np3 0.000 0.500 0.000
Np4 0.000 0.000 0.500
# Raw formation energy (eV per atom): -1.434
# Final energy (eV per formula unit): -80.58
# N(E_F) (states/eV/f.u.): 17.41

[3]
# SmZn2Ga | the Alexandria database | PBE | relaxed
data_SmZn2Ga
_symmetry_space_group_name_H-M 'P 1'
_symmetry_Int_Tables_number 1
_cell_length_a 4.793
_cell_length_b 4.793
_cell_length_c 4.793
_cell_angle_alpha 60.00
_cell_angle_beta 60.00
_cell_angle_gamma 60.00
loop_
_symmetry_equiv_pos_as_xyz
'x,y,z'
loop_
_atom_site_label
_atom_site_fract_x
_atom_site_fract_y
_atom_site_fract_z
Sm1 0.000 0.000 0.000
Zn1 0.750 0.750 0.750
Zn2 0.250 0.250 0.250
Ga1 0.500 0.500 0.500
# DFT formation energy (eV/atom): -0.283
# Final energy (eV per formula unit): -11.43
# N(E_F) (states/eV/f.u.): 1.73